Material: CaInCu2
Method: DFT, PBE
State: optimized geometry

Results
Calculated formation energy: -0.142 eV/atom
SG: Cm, No. 8

Cell: 7.4617 4.3538 5.8920 Å, 90.00 115.18 90.00°
Closest atoms and distances in Å follow each position.
Element x y z (fractional)
Ca 0.0000 0.0000 0.0000  4 In 3.17-3.31, 7 Cu 3.19-3.29
Ca 0.5000 0.5000 0.0000  4 In 3.17-3.31, 7 Cu 3.19-3.29
In 0.3004 0.5000 0.4051  6 Cu 2.73-2.76
In 0.8004 0.0000 0.4051  6 Cu 2.73-2.76
Cu 0.0405 0.5000 0.6238  3 Cu 2.49-2.51, 3 In 2.75-2.76
Cu 0.2047 0.0000 0.6171  3 Cu 2.49-2.51, 3 In 2.73-2.75
Cu 0.5405 0.0000 0.6238  3 Cu 2.49-2.51, 3 In 2.75-2.76
Cu 0.7047 0.5000 0.6171  3 Cu 2.49-2.51, 3 In 2.73-2.75